A plane-wave DFT calculation with SCAN was carried out for ScOs2 at its PBEsol-relaxed geometry.

It has space group Immm (No. 71), with a = 2.850 Å, b = 3.790 Å, c = 8.695 Å, α = 90.00°, β = 90.00° and γ = 90.00°. Symmetry generates all atoms from Sc at (0.000, 0.000, 0.000) and Os at (0.000, 0.000, 0.317).

The energy relative to the elements comes out at -0.01 eV per atom. For the mass density, the calculation gives 15.05 g/cm³.